# 1
Below is a geometry-optimized Tb2Ce2Ir3 structure, with properties calculated at the PBE level.

Properties
Total magnetic moment (μB/atom): 0.120
Formation energy from the elements (meV/atom): -647
Excess energy over the best structure of this formula in the dataset (eV per atom): 0.088

a b c (Å): 6.818 6.818 7.068
angles (deg): 102.30 102.30 35.89
Atoms (fractional coordinates):
Tb 0.125 0.125 0.396
Tb 0.875 0.875 0.604
Ce 0.360 0.360 0.146
Ce 0.640 0.640 0.854
Ir 0.270 0.270 0.769
Ir 0.500 0.500 0.500
Ir 0.730 0.730 0.231

# 2
Below is a geometry-optimized TbCeIr structure, with properties calculated at the PBE level.

Properties
Total magnetic moment (μB/atom): 0.001
Formation energy from the elements (meV/atom): -462
Excess energy over the best structure of this formula in the dataset (eV per atom): 0.086

a b c (Å): 6.056 6.056 6.056
angles (deg): 145.48 145.48 49.62
Atoms (fractional coordinates):
Tb 0.000 0.000 0.000
Ce 0.711 0.711 0.000
Ir 0.340 0.340 0.000

# 3
Below is a geometry-optimized Tb3CeIr2 structure, with properties calculated at the PBE level.

Properties
Total magnetic moment (μB/atom): 0.103
Formation energy from the elements (meV/atom): -611

a b c (Å): 8.414 8.414 8.414
angles (deg): 131.94 71.64 130.29
Atoms (fractional coordinates):
Tb 0.007 0.750 0.257
Tb 0.250 0.250 0.000
Tb 0.493 0.750 0.743
Tb 0.507 0.250 0.257
Tb 0.750 0.750 0.000
Tb 0.993 0.250 0.743
Ce 0.000 0.500 0.500
Ce 0.500 0.000 0.500
Ir 0.132 0.230 0.362
Ir 0.368 0.730 0.098
Ir 0.632 0.270 0.902
Ir 0.868 0.770 0.638

# 4
Below is a geometry-optimized Tb5CeIr4 structure, with properties calculated at the PBE level.

Properties
Total magnetic moment (μB/atom): 0.000
Formation energy from the elements (meV/atom): -672

a b c (Å): 9.421 9.421 7.512
angles (deg): 113.42 113.42 25.53
Atoms (fractional coordinates):
Tb 0.000 0.000 0.000
Tb 0.334 0.334 0.091
Tb 0.334 0.334 0.577
Tb 0.666 0.666 0.423
Tb 0.666 0.666 0.909
Ce 0.000 0.000 0.500
Ir 0.200 0.200 0.700
Ir 0.500 0.500 0.253
Ir 0.500 0.500 0.747
Ir 0.800 0.800 0.300

# 5
Below is a geometry-optimized Tb4CeIr3 structure, with properties calculated at the PBE level.

Properties
Total magnetic moment (μB/atom): 0.077
Formation energy from the elements (meV/atom): -709

a b c (Å): 8.136 8.136 6.200
angles (deg): 105.22 105.22 84.19
Atoms (fractional coordinates):
Tb 0.119 0.291 0.621
Tb 0.123 0.702 0.957
Tb 0.291 0.119 0.121
Tb 0.298 0.877 0.543
Tb 0.702 0.123 0.457
Tb 0.709 0.881 0.879
Tb 0.877 0.298 0.043
Tb 0.881 0.709 0.379
Ce 0.498 0.502 0.750
Ce 0.502 0.498 0.250
Ir 0.000 0.000 0.250
Ir 0.000 0.000 0.750
Ir 0.194 0.508 0.350
Ir 0.492 0.806 0.150
Ir 0.508 0.194 0.850
Ir 0.806 0.492 0.650

# 6
Below is a geometry-optimized Tb3CeIr8 structure, with properties calculated at the PBE level.

Properties
Total magnetic moment (μB/atom): 0.000
Formation energy from the elements (meV/atom): -793

a b c (Å): 9.309 9.309 9.309
angles (deg): 33.60 33.60 33.60
Atoms (fractional coordinates):
Tb 0.000 0.000 0.000
Tb 0.125 0.125 0.125
Tb 0.499 0.499 0.499
Ce 0.624 0.624 0.624
Ir 0.061 0.061 0.563
Ir 0.061 0.562 0.562
Ir 0.061 0.563 0.061
Ir 0.312 0.312 0.312
Ir 0.562 0.061 0.562
Ir 0.562 0.562 0.061
Ir 0.563 0.061 0.061
Ir 0.812 0.812 0.812

# 7
Below is a geometry-optimized Tb3CeIr3 structure, with properties calculated at the PBE level.

Properties
Total magnetic moment (μB/atom): 0.000
Formation energy from the elements (meV/atom): -660

a b c (Å): 7.039 7.039 6.861
angles (deg): 96.02 96.02 84.57
Atoms (fractional coordinates):
Tb 0.189 0.811 0.000
Tb 0.276 0.724 0.500
Tb 0.302 0.302 0.980
Tb 0.698 0.698 0.020
Tb 0.724 0.276 0.500
Tb 0.811 0.189 0.000
Ce 0.219 0.219 0.436
Ce 0.781 0.781 0.564
Ir 0.013 0.502 0.238
Ir 0.058 0.058 0.706
Ir 0.498 0.987 0.762
Ir 0.502 0.013 0.238
Ir 0.942 0.942 0.294
Ir 0.987 0.498 0.762

# 8
Below is a geometry-optimized TbCe4Ir4 structure, with properties calculated at the PBE level.

Properties
Total magnetic moment (μB/atom): 0.063
Formation energy from the elements (meV/atom): -669

a b c (Å): 8.965 8.965 5.665
angles (deg): 90.00 90.00 90.00
Atoms (fractional coordinates):
Tb 0.250 0.250 0.250
Tb 0.750 0.750 0.750
Ce 0.064 0.656 0.191
Ce 0.156 0.936 0.691
Ce 0.344 0.564 0.691
Ce 0.436 0.844 0.191
Ce 0.564 0.156 0.809
Ce 0.656 0.436 0.309
Ce 0.844 0.064 0.309
Ce 0.936 0.344 0.809
Ir 0.043 0.630 0.688
Ir 0.130 0.957 0.188
Ir 0.370 0.543 0.188
Ir 0.457 0.870 0.688
Ir 0.543 0.130 0.312
Ir 0.630 0.457 0.812
Ir 0.870 0.043 0.812
Ir 0.957 0.370 0.312

# 9
Below is a geometry-optimized Tb2CeIr3 structure, with properties calculated at the PBE level.

Properties
Total magnetic moment (μB/atom): 0.000
Formation energy from the elements (meV/atom): -566

a b c (Å): 7.020 7.020 7.020
angles (deg): 147.04 132.00 59.46
Atoms (fractional coordinates):
Tb 0.168 0.168 0.000
Tb 0.832 0.832 0.000
Ce 0.500 0.500 0.000
Ir 0.000 0.500 0.500
Ir 0.340 0.840 0.500
Ir 0.660 0.160 0.500

# 10
Below is a geometry-optimized TbCeIr structure, with properties calculated at the PBE level.

Properties
Total magnetic moment (μB/atom): 0.346
Formation energy from the elements (meV/atom): -528
Excess energy over the best structure of this formula in the dataset (eV per atom): 0.020

a b c (Å): 4.855 4.855 4.855
angles (deg): 60.00 60.00 60.00
Atoms (fractional coordinates):
Tb 0.000 0.000 0.000
Ce 0.500 0.500 0.500
Ir 0.750 0.750 0.750

# 11
Below is a geometry-optimized TbCeIr structure, with properties calculated at the PBE level.

Properties
Total magnetic moment (μB/atom): 0.365
Formation energy from the elements (meV/atom): -496
Excess energy over the best structure of this formula in the dataset (eV per atom): 0.052

a b c (Å): 4.083 4.083 6.155
angles (deg): 90.00 90.00 120.00
Atoms (fractional coordinates):
Tb 0.000 0.000 0.000
Ce 0.667 0.333 0.517
Ir 0.333 0.667 0.752

# 12
Below is a geometry-optimized Tb5CeIr6 structure, with properties calculated at the PBE level.

Properties
Total magnetic moment (μB/atom): 0.000
Formation energy from the elements (meV/atom): -767

a b c (Å): 7.610 7.610 7.108
angles (deg): 90.00 90.00 143.05
Atoms (fractional coordinates):
Tb 0.000 0.000 0.000
Tb 0.332 0.668 0.500
Tb 0.333 0.667 0.000
Tb 0.667 0.333 0.000
Tb 0.668 0.332 0.500
Ce 0.000 0.000 0.500
Ir 0.164 0.836 0.251
Ir 0.164 0.836 0.749
Ir 0.500 0.500 0.254
Ir 0.500 0.500 0.746
Ir 0.836 0.164 0.251
Ir 0.836 0.164 0.749

# 13
Below is a geometry-optimized Tb2Ce5Ir5 structure, with properties calculated at the PBE level.

Properties
Total magnetic moment (μB/atom): 0.167
Formation energy from the elements (meV/atom): -678

a b c (Å): 6.973 6.973 11.949
angles (deg): 103.75 103.75 32.73
Atoms (fractional coordinates):
Tb 0.044 0.044 0.283
Tb 0.956 0.956 0.717
Ce 0.265 0.265 0.147
Ce 0.347 0.347 0.450
Ce 0.500 0.500 0.000
Ce 0.653 0.653 0.550
Ce 0.735 0.735 0.853
Ir 0.000 0.000 0.500
Ir 0.116 0.116 0.928
Ir 0.294 0.294 0.683
Ir 0.706 0.706 0.317
Ir 0.884 0.884 0.072

# 14
Below is a geometry-optimized Tb8CeIr6 structure, with properties calculated at the PBE level.

Properties
Total magnetic moment (μB/atom): 0.000
Formation energy from the elements (meV/atom): -760

a b c (Å): 7.741 7.741 7.741
angles (deg): 64.68 64.68 64.68
Atoms (fractional coordinates):
Tb 0.037 0.728 0.396
Tb 0.162 0.162 0.162
Tb 0.272 0.604 0.963
Tb 0.396 0.037 0.728
Tb 0.604 0.963 0.272
Tb 0.728 0.396 0.037
Tb 0.838 0.838 0.838
Tb 0.963 0.272 0.604
Ce 0.500 0.500 0.500
Ir 0.121 0.443 0.769
Ir 0.231 0.879 0.557
Ir 0.443 0.769 0.121
Ir 0.557 0.231 0.879
Ir 0.769 0.121 0.443
Ir 0.879 0.557 0.231

# 15
Below is a geometry-optimized Tb2CeIr2 structure, with properties calculated at the PBE level.

Properties
Total magnetic moment (μB/atom): 0.000
Formation energy from the elements (meV/atom): -572

a b c (Å): 8.710 8.710 6.596
angles (deg): 90.00 90.00 150.50
Atoms (fractional coordinates):
Tb 0.032 0.968 0.500
Tb 0.193 0.807 0.806
Tb 0.807 0.193 0.306
Tb 0.968 0.032 0.000
Ce 0.386 0.614 0.673
Ce 0.614 0.386 0.173
Ir 0.191 0.809 0.303
Ir 0.446 0.554 0.298
Ir 0.554 0.446 0.798
Ir 0.809 0.191 0.803

# 16
Below is a geometry-optimized TbCeIr structure, with properties calculated at the PBE level.

Properties
Total magnetic moment (μB/atom): 0.000
Formation energy from the elements (meV/atom): -548
Excess energy over the best structure of this formula in the dataset (eV per atom): 0.000

a b c (Å): 4.860 4.073 7.525
angles (deg): 90.00 91.97 90.00
Atoms (fractional coordinates):
Tb 0.242 0.250 0.126
Tb 0.758 0.750 0.874
Ce 0.287 0.750 0.517
Ce 0.713 0.250 0.483
Ir 0.160 0.250 0.752
Ir 0.840 0.750 0.248

# 17
Below is a geometry-optimized Tb5CeIr5 structure, with properties calculated at the PBE level.

Properties
Total magnetic moment (μB/atom): 0.000
Formation energy from the elements (meV/atom): -595

a b c (Å): 6.974 6.974 8.065
angles (deg): 106.84 106.84 47.89
Atoms (fractional coordinates):
Tb 0.000 0.000 0.000
Tb 0.324 0.324 0.172
Tb 0.326 0.326 0.655
Tb 0.674 0.674 0.345
Tb 0.676 0.676 0.828
Ce 0.000 0.000 0.500
Ir 0.155 0.155 0.328
Ir 0.162 0.162 0.833
Ir 0.500 0.500 0.500
Ir 0.838 0.838 0.167
Ir 0.845 0.845 0.672

# 18
Below is a geometry-optimized TbCe3Ir structure, with properties calculated at the PBE level.

Properties
Total magnetic moment (μB/atom): 0.001
Formation energy from the elements (meV/atom): -296

a b c (Å): 6.691 5.379 7.332
angles (deg): 90.00 95.52 90.00
Atoms (fractional coordinates):
Tb 0.186 0.250 0.214
Tb 0.814 0.750 0.786
Ce 0.050 0.250 0.693
Ce 0.353 0.750 0.963
Ce 0.485 0.250 0.674
Ce 0.515 0.750 0.326
Ce 0.647 0.250 0.037
Ce 0.950 0.750 0.307
Ir 0.236 0.750 0.602
Ir 0.764 0.250 0.398

# 19
Below is a geometry-optimized Tb2Ce2Ir3 structure, with properties calculated at the PBE level.

Properties
Total magnetic moment (μB/atom): 0.153
Formation energy from the elements (meV/atom): -735
Excess energy over the best structure of this formula in the dataset (eV per atom): 0.000

a b c (Å): 7.512 7.512 7.512
angles (deg): 109.47 109.47 109.47
Atoms (fractional coordinates):
Tb 0.000 0.874 0.500
Tb 0.500 0.000 0.874
Tb 0.626 0.626 0.626
Tb 0.874 0.500 0.000
Ce 0.000 0.382 0.500
Ce 0.118 0.118 0.118
Ce 0.382 0.500 0.000
Ce 0.500 0.000 0.382
Ir 0.122 0.750 0.872
Ir 0.250 0.628 0.378
Ir 0.378 0.250 0.628
Ir 0.628 0.378 0.250
Ir 0.750 0.872 0.122
Ir 0.872 0.122 0.750

# 20
Below is a geometry-optimized TbCeIr4 structure, with properties calculated at the PBE level.

Properties
Total magnetic moment (μB/atom): 0.000
Formation energy from the elements (meV/atom): -782

a b c (Å): 5.385 5.385 5.385
angles (deg): 60.00 60.00 60.00
Atoms (fractional coordinates):
Tb 0.000 0.000 0.000
Ce 0.750 0.750 0.750
Ir 0.375 0.375 0.375
Ir 0.375 0.375 0.876
Ir 0.375 0.876 0.375
Ir 0.876 0.375 0.375